{
  "formula": "LaMg2Sc",
  "functional": "PBE",
  "state": "relaxed",
  "cell": [[-1.360, 2.559, 1.833], [-2.624, 0.182, -2.200], [-4.669, -6.110, 5.063]],
  "species": ["Mg", "Mg", "Sc", "La"],
  "fractional_positions": [[0.500, 0.500, 0.246], [0.000, 0.000, 0.032], [0.000, 0.000, 0.471], [0.500, 0.500, 0.750]],
  "magmom_total_mub_per_cell": 0.01,
  "e_tot_ev_per_atom": -3.619,
  "e_form_mev_per_atom": -7,
  "dos_at_fermi_per_ev_fu": 5.6
}